Entry 1:
VSbBr6, optimized geometry, DFT PBE-GGA; symmetry = No. 12; uncorrected energy = -3.556 eV/atom; formation energy without anion corrections = -0.65 eV per atom
1.0
6.678 0.000 0.000
0.000 13.006 0.000
-1.986 0.000 6.377
V Sb Br
2 2 12
Cartesian
0.000 0.000 0.000
3.339 6.503 0.000
-0.993 6.503 3.188
2.346 0.000 3.188
1.071 1.816 1.451
1.071 11.190 1.451
0.091 0.000 4.846
1.262 6.503 1.531
0.282 4.687 4.926
0.282 8.319 4.926
4.410 4.687 1.451
4.410 8.319 1.451
3.430 6.503 4.846
4.600 0.000 1.531
3.621 1.816 4.926
3.621 11.190 4.926

=====

Entry 2:
V2Sb4Br, optimized geometry, DFT PBE-GGA; symmetry = No. 139; uncorrected energy = -4.495 eV/atom; formation energy without anion corrections = 0.70 eV per atom
1.0
5.337 0.000 0.000
0.000 5.337 0.000
0.000 0.000 15.134
V Sb Br
4 8 2
Cartesian
0.000 0.000 1.242
0.000 0.000 13.891
2.669 2.669 6.325
2.669 2.669 8.809
0.000 0.000 3.885
0.000 0.000 11.249
0.000 2.669 0.000
0.000 2.669 7.567
2.669 0.000 0.000
2.669 0.000 7.567
2.669 2.669 3.682
2.669 2.669 11.452
0.000 0.000 7.567
2.669 2.669 0.000

=====

Entry 3:
VSbBr2, optimized geometry, DFT PBE-GGA; symmetry = No. 122; uncorrected energy = -4.247 eV/atom; formation energy without anion corrections = -0.10 eV per atom; excess energy over the best structure of this formula in the dataset = 64.5 kJ/mol of formula units
1.0
9.337 0.000 0.000
0.000 9.337 0.000
0.000 0.000 5.307
V Sb Br
4 4 8
Cartesian
0.000 0.000 0.000
0.000 4.668 1.327
4.668 0.000 3.980
4.668 4.668 2.654
0.000 0.000 2.654
0.000 4.668 3.980
4.668 0.000 1.327
4.668 4.668 0.000
1.000 2.334 0.663
2.334 5.668 1.990
2.334 8.337 4.644
3.669 2.334 3.317
5.668 7.003 3.317
7.003 1.000 4.644
7.003 3.669 1.990
8.337 7.003 0.663

=====

Entry 4:
V2Sb2Br, optimized geometry, DFT PBE-GGA; symmetry = No. 139; uncorrected energy = -5.162 eV/atom; formation energy without anion corrections = 0.47 eV per atom; excess energy over the best structure of this formula in the dataset = 188.8 kJ/mol of formula units
1.0
4.395 0.000 0.000
0.000 4.395 0.000
0.000 0.000 11.522
V Sb Br
4 4 2
Cartesian
0.000 0.000 0.962
0.000 0.000 10.560
2.198 2.198 4.799
2.198 2.198 6.722
0.000 2.198 2.880
0.000 2.198 8.641
2.198 0.000 2.880
2.198 0.000 8.641
0.000 0.000 5.761
2.198 2.198 0.000

=====

Entry 5:
VSbBr2, optimized geometry, DFT PBE-GGA; symmetry = No. 225; uncorrected energy = -3.668 eV/atom; formation energy without anion corrections = 0.48 eV per atom; excess energy over the best structure of this formula in the dataset = 288.1 kJ/mol of formula units
1.0
7.245 0.000 0.000
0.000 7.245 0.000
0.000 0.000 7.245
V Sb Br
4 4 8
Cartesian
0.000 0.000 0.000
0.000 3.623 3.623
3.623 0.000 3.623
3.623 3.623 0.000
0.000 0.000 3.623
0.000 3.623 0.000
3.623 0.000 0.000
3.623 3.623 3.623
1.811 1.811 1.811
1.811 1.811 5.434
1.811 5.434 1.811
1.811 5.434 5.434
5.434 1.811 1.811
5.434 1.811 5.434
5.434 5.434 1.811
5.434 5.434 5.434

=====

Entry 6:
VSbBr2, optimized geometry, DFT PBE-GGA; symmetry = No. 166; uncorrected energy = -3.868 eV/atom; formation energy without anion corrections = 0.28 eV per atom; excess energy over the best structure of this formula in the dataset = 210.6 kJ/mol of formula units
1.0
3.520 0.000 0.000
-1.760 3.048 0.000
0.000 0.000 29.916
V Sb Br
3 3 6
Cartesian
0.000 0.000 0.000
0.000 2.032 19.944
1.760 1.016 9.972
0.000 0.000 14.958
0.000 2.032 4.986
1.760 1.016 24.930
0.000 0.000 2.419
0.000 0.000 27.497
0.000 2.032 17.525
0.000 2.032 22.363
1.760 1.016 7.553
1.760 1.016 12.391

=====

Entry 7:
VSb2Br, optimized geometry, DFT PBE-GGA; symmetry = No. 225; uncorrected energy = -4.216 eV/atom; formation energy without anion corrections = 0.54 eV per atom; excess energy over the best structure of this formula in the dataset = 45.6 kJ/mol of formula units
1.0
7.265 0.000 0.000
0.000 7.265 0.000
0.000 0.000 7.265
V Sb Br
4 8 4
Cartesian
0.000 0.000 0.000
0.000 3.632 3.632
3.632 0.000 3.632
3.632 3.632 0.000
1.816 1.816 1.816
1.816 1.816 5.448
1.816 5.448 1.816
1.816 5.448 5.448
5.448 1.816 1.816
5.448 1.816 5.448
5.448 5.448 1.816
5.448 5.448 5.448
0.000 0.000 3.632
0.000 3.632 0.000
3.632 0.000 0.000
3.632 3.632 3.632

=====

Entry 8:
SbWBr2, optimized geometry, DFT PBE-GGA; symmetry = No. 6; uncorrected energy = -4.900 eV/atom; formation energy without anion corrections = 0.21 eV per atom; excess energy over the best structure of this formula in the dataset = 44.0 kJ/mol of formula units
1.0
4.188 0.000 0.000
0.000 3.346 0.000
-2.066 0.000 7.826
Sb W Br
1 1 2
Cartesian
0.000 0.000 0.000
0.031 1.673 6.907
0.025 0.000 4.936
2.080 1.673 1.807

=====

Entry 9:
Sb2WBr, optimized geometry, DFT PBE-GGA; symmetry = No. 123; uncorrected energy = -5.430 eV/atom; formation energy without anion corrections = 0.29 eV per atom; excess energy over the best structure of this formula in the dataset = 11.3 kJ/mol of formula units
1.0
3.392 0.000 0.000
0.000 3.392 0.000
0.000 0.000 8.041
Sb W Br
2 1 1
Cartesian
0.000 0.000 1.615
0.000 0.000 6.426
1.696 1.696 0.000
1.696 1.696 4.020

=====

Entry 10:
SbWBr, optimized geometry, DFT PBE-GGA; symmetry = No. 156; uncorrected energy = -5.378 eV/atom; formation energy without anion corrections = 0.87 eV per atom; excess energy over the best structure of this formula in the dataset = 155.8 kJ/mol of formula units
1.0
4.809 0.000 0.000
-2.405 4.165 0.000
0.000 0.000 3.104
Sb W Br
1 1 1
Cartesian
0.000 0.000 0.000
2.405 1.388 0.838
0.000 2.777 1.196

=====

Entry 11:
SbWBr2, optimized geometry, DFT PBE-GGA; symmetry = No. 122; uncorrected energy = -4.674 eV/atom; formation energy without anion corrections = 0.43 eV per atom; excess energy over the best structure of this formula in the dataset = 131.3 kJ/mol of formula units
1.0
9.300 0.000 0.000
0.000 9.300 0.000
0.000 0.000 5.261
Sb W Br
4 4 8
Cartesian
0.000 0.000 0.000
0.000 4.650 1.315
4.650 0.000 3.946
4.650 4.650 2.630
0.000 0.000 2.630
0.000 4.650 3.946
4.650 0.000 1.315
4.650 4.650 0.000
1.115 2.325 3.288
2.325 5.765 4.603
2.325 8.185 1.973
3.535 2.325 0.658
5.765 6.975 0.658
6.975 1.115 1.973
6.975 3.535 4.603
8.185 6.975 3.288

=====

Entry 12:
Sb2WBr, optimized geometry, DFT PBE-GGA; symmetry = No. 44; uncorrected energy = -5.300 eV/atom; formation energy without anion corrections = 0.42 eV per atom; excess energy over the best structure of this formula in the dataset = 61.6 kJ/mol of formula units
1.0
3.237 0.000 0.000
0.000 4.674 0.000
0.000 0.000 14.969
Sb W Br
4 2 2
Cartesian
0.000 0.000 0.000
0.000 2.337 1.876
1.618 0.000 9.361
1.618 2.337 7.484
0.000 0.000 6.889
1.618 2.337 14.373
0.000 2.337 12.331
1.618 0.000 4.846